Entry from Alexandria via LeMat-Bulk: a relaxed CoAsWSe2 crystal (GGA-PBE).

Unit cell a=4.553 b=4.553 c=4.428 alpha=90.00 beta=90.00 gamma=90.00
Atoms (fractional coordinates):
As 0.000 0.000 0.500
Co 0.000 0.000 0.000
Se 0.000 0.500 0.000
Se 0.500 0.000 0.000
W 0.500 0.500 0.500

## Properties
- Calculated volume: 18.4 A^3/atom
- Formation energy from raw total energies: 1.0357 eV per atom
- DOS at the Fermi energy: 4.3 states/eV/f.u.

=====

Entry from Alexandria via LeMat-Bulk: a relaxed CoAsWSe2 crystal (GGA-PBE).

Unit cell a=4.901 b=4.901 c=4.936 alpha=90.00 beta=90.00 gamma=90.00
Atoms (fractional coordinates):
As 0.000 0.000 0.500
Co 0.500 0.500 0.500
Se 0.000 0.500 0.000
Se 0.500 0.000 0.000
W 0.000 0.000 0.000

## Properties
- Calculated volume: 23.7 A^3/atom
- Formation energy from raw total energies: 0.9470 eV per atom
- DOS at the Fermi energy: 8.4 states/eV/f.u.

=====

Entry from Alexandria via LeMat-Bulk: a relaxed CoAs2WSe crystal (GGA-PBE).

Unit cell a=4.915 b=4.915 c=4.866 alpha=90.00 beta=90.00 gamma=90.00
Atoms (fractional coordinates):
As 0.000 0.500 0.000
As 0.500 0.000 0.000
Co 0.500 0.500 0.500
Se 0.000 0.000 0.500
W 0.000 0.000 0.000

## Properties
- Calculated volume: 23.5 A^3/atom
- Formation energy from raw total energies: 0.9948 eV per atom
- DOS at the Fermi energy: 4.5 states/eV/f.u.

=====

Entry from Alexandria via LeMat-Bulk: a relaxed ZnCoAs2Se crystal (GGA-PBE).

Unit cell a=4.739 b=4.739 c=4.989 alpha=90.00 beta=90.00 gamma=90.00
Atoms (fractional coordinates):
As 0.000 0.500 0.000
As 0.500 0.000 0.000
Co 0.500 0.500 0.500
Zn 0.000 0.000 0.000
Se 0.000 0.000 0.500

## Properties
- Calculated volume: 22.4 A^3/atom
- Formation energy from raw total energies: 1.0715 eV per atom
- DOS at the Fermi energy: 5.0 states/eV/f.u.

=====

Entry from Alexandria via LeMat-Bulk: a relaxed ZnCoAs2Se crystal (GGA-PBE).

Unit cell a=4.414 b=4.414 c=5.292 alpha=90.00 beta=90.00 gamma=90.00
Atoms (fractional coordinates):
As 0.000 0.500 0.000
As 0.500 0.000 0.000
Co 0.000 0.000 0.000
Zn 0.500 0.500 0.500
Se 0.000 0.000 0.500

## Properties
- Calculated volume: 20.6 A^3/atom
- Formation energy from raw total energies: 0.3631 eV per atom
- DOS at the Fermi energy: 3.1 states/eV/f.u.

=====

Entry from Alexandria via LeMat-Bulk: a relaxed ZnCoAsSe2 crystal (GGA-PBE).

Unit cell a=4.901 b=4.901 c=4.302 alpha=90.00 beta=90.00 gamma=90.00
Atoms (fractional coordinates):
As 0.000 0.000 0.500
Co 0.000 0.000 0.000
Zn 0.500 0.500 0.500
Se 0.000 0.500 0.000
Se 0.500 0.000 0.000

## Properties
- Calculated volume: 20.7 A^3/atom
- Formation energy from raw total energies: 0.3633 eV per atom
- DOS at the Fermi energy: 3.7 states/eV/f.u.

=====

Entry from Alexandria via LeMat-Bulk: a relaxed ZnCoAsSe2 crystal (GGA-PBE).

Unit cell a=4.947 b=4.947 c=4.680 alpha=90.00 beta=90.00 gamma=90.00
Atoms (fractional coordinates):
As 0.000 0.000 0.500
Co 0.500 0.500 0.500
Zn 0.000 0.000 0.000
Se 0.000 0.500 0.000
Se 0.500 0.000 0.000

## Properties
- Calculated volume: 22.9 A^3/atom
- Formation energy from raw total energies: 0.9806 eV per atom
- DOS at the Fermi energy: 6.3 states/eV/f.u.

=====

Entry from Alexandria via LeMat-Bulk: a relaxed ZrCoAs2Se crystal (GGA-PBE).

Unit cell a=5.187 b=5.187 c=5.134 alpha=90.00 beta=90.00 gamma=90.00
Atoms (fractional coordinates):
As 0.000 0.500 0.000
As 0.500 0.000 0.000
Co 0.500 0.500 0.500
Se 0.000 0.000 0.500
Zr 0.000 0.000 0.000

## Properties
- Calculated volume: 27.6 A^3/atom
- Formation energy from raw total energies: 0.6542 eV per atom
- DOS at the Fermi energy: 7.3 states/eV/f.u.

=====

Entry from Alexandria via LeMat-Bulk: a relaxed ZrCoAs2Se crystal (GGA-PBE).

Unit cell a=4.478 b=4.478 c=4.867 alpha=90.00 beta=90.00 gamma=90.00
Atoms (fractional coordinates):
As 0.000 0.500 0.000
As 0.500 0.000 0.000
Co 0.000 0.000 0.000
Se 0.000 0.000 0.500
Zr 0.500 0.500 0.500

## Properties
- Calculated volume: 19.5 A^3/atom
- Formation energy from raw total energies: 0.0929 eV per atom
- DOS at the Fermi energy: 4.9 states/eV/f.u.

=====

Entry from Alexandria via LeMat-Bulk: a relaxed CoSi2As crystal (GGA-PBE).

Unit cell a=4.600 b=4.600 c=4.600 alpha=134.94 beta=122.26 gamma=76.11
Atoms (fractional coordinates):
As 0.504 0.504 0.000
Co 0.230 0.730 0.500
Si 0.006 0.006 0.000
Si 0.760 0.260 0.500

## Properties
- Calculated volume: 14.2 A^3/atom
- Formation energy from raw total energies: 0.3451 eV per atom
- DOS at the Fermi energy: 2.6 states/eV/f.u.

=====

Entry from Alexandria via LeMat-Bulk: a relaxed Co3SiAs crystal (GGA-PBE).

Unit cell a=4.214 b=4.214 c=4.214 alpha=90.00 beta=90.00 gamma=90.00
Atoms (fractional coordinates):
As 0.500 0.500 0.500
Co 0.000 0.500 0.000
Co 0.000 0.000 0.500
Co 0.500 0.000 0.000
Si 0.000 0.000 0.000

## Properties
- Calculated volume: 15.0 A^3/atom
- Formation energy from raw total energies: 0.5861 eV per atom
- DOS at the Fermi energy: 5.9 states/eV/f.u.

=====

Entry from Alexandria via LeMat-Bulk: a relaxed CoSi2As crystal (GGA-PBE).

Unit cell a=2.876 b=2.876 c=7.017 alpha=90.00 beta=90.00 gamma=90.01
Atoms (fractional coordinates):
As 0.000 0.000 0.559
Co 0.500 0.500 0.787
Si 0.000 0.000 0.959
Si 0.500 0.500 0.194

## Properties
- Calculated volume: 14.5 A^3/atom
- Formation energy from raw total energies: 0.1128 eV per atom
- DOS at the Fermi energy: 1.6 states/eV/f.u.

=====

Entry from Alexandria via LeMat-Bulk: a relaxed Co2SiAs crystal (GGA-PBE).

Unit cell a=4.139 b=4.139 c=2.832 alpha=89.97 beta=89.97 gamma=94.09
Atoms (fractional coordinates):
As 0.000 0.500 0.500
Co 0.000 0.000 0.000
Co 0.500 0.500 0.000
Si 0.500 0.000 0.500

## Properties
- Calculated volume: 12.1 A^3/atom
- Formation energy from raw total energies: -0.0644 eV per atom
- DOS at the Fermi energy: 2.8 states/eV/f.u.

=====

Entry from Alexandria via LeMat-Bulk: a relaxed CoSi2As crystal (GGA-PBE).

Unit cell a=3.637 b=3.942 c=3.942 alpha=90.00 beta=90.00 gamma=90.00
Atoms (fractional coordinates):
As 0.500 0.500 0.000
Co 0.500 0.000 0.500
Si 0.000 0.000 0.000
Si 0.000 0.500 0.500

## Properties
- Calculated volume: 14.1 A^3/atom
- Formation energy from raw total energies: 0.4425 eV per atom
- DOS at the Fermi energy: 2.3 states/eV/f.u.

=====

Entry from Alexandria via LeMat-Bulk: a relaxed CoSi2As crystal (GGA-PBE).

Unit cell a=3.273 b=3.688 c=5.019 alpha=76.88 beta=90.00 gamma=90.00
Atoms (fractional coordinates):
As 0.500 0.500 0.500
Co 0.000 0.000 0.500
Si 0.000 0.000 0.000
Si 0.500 0.500 0.000

## Properties
- Calculated volume: 14.7 A^3/atom
- Formation energy from raw total energies: 0.2701 eV per atom
- DOS at the Fermi energy: 2.7 states/eV/f.u.

=====

Entry from Alexandria via LeMat-Bulk: a relaxed Co2SiAs crystal (GGA-PBE).

Unit cell a=2.785 b=2.785 c=7.022 alpha=90.00 beta=90.00 gamma=90.00
Atoms (fractional coordinates):
As 0.500 0.500 0.812
Co 0.000 0.000 0.016
Co 0.500 0.500 0.246
Si 0.000 0.000 0.426

## Properties
- Calculated volume: 13.6 A^3/atom
- Formation energy from raw total energies: 0.0444 eV per atom
- DOS at the Fermi energy: 3.3 states/eV/f.u.

=====

Entry from Alexandria via LeMat-Bulk: a relaxed CoSi2As crystal (GGA-PBE).

Unit cell a=4.304 b=4.304 c=4.304 alpha=60.00 beta=60.00 gamma=60.00
Atoms (fractional coordinates):
As 0.500 0.500 0.500
Co 0.750 0.750 0.750
Si 0.000 0.000 0.000
Si 0.250 0.250 0.250

## Properties
- Calculated volume: 14.1 A^3/atom
- Formation energy from raw total energies: 0.3896 eV per atom
- DOS at the Fermi energy: 3.2 states/eV/f.u.

=====

Entry from Alexandria via LeMat-Bulk: a relaxed CoSi2As crystal (GGA-PBE).

Unit cell a=2.794 b=2.794 c=7.116 alpha=90.00 beta=90.00 gamma=90.00
Atoms (fractional coordinates):
As 0.500 0.500 0.250
Co 0.500 0.500 0.750
Si 0.000 0.000 0.947
Si 0.000 0.000 0.553

## Properties
- Calculated volume: 13.9 A^3/atom
- Formation energy from raw total energies: 0.0865 eV per atom
- DOS at the Fermi energy: 1.8 states/eV/f.u.

=====

Entry from Alexandria via LeMat-Bulk: a relaxed CoSiAs crystal (GGA-PBE).

Unit cell a=5.883 b=5.883 c=2.771 alpha=76.38 beta=76.38 gamma=27.24
Atoms (fractional coordinates):
As 0.026 0.026 0.974
Co 0.674 0.674 0.326
Si 0.300 0.300 0.700

## Properties
- Calculated volume: 14.2 A^3/atom
- Formation energy from raw total energies: 0.0254 eV per atom
- DOS at the Fermi energy: 1.6 states/eV/f.u.

=====

Entry from Alexandria via LeMat-Bulk: a relaxed CoSi4As crystal (GGA-PBE).

Unit cell a=5.031 b=5.031 c=5.031 alpha=60.00 beta=60.00 gamma=60.00
Atoms (fractional coordinates):
Co 0.000 0.000 0.000
Si 0.875 0.375 0.375
Si 0.375 0.375 0.875
Si 0.375 0.875 0.375
Si 0.375 0.375 0.375
As 0.750 0.750 0.750

## Properties
- Calculated volume: 15.0 A^3/atom
- Formation energy from raw total energies: 0.6625 eV per atom
- DOS at the Fermi energy: 5.9 states/eV/f.u.

=====

Entry from Alexandria via LeMat-Bulk: a relaxed CoSiAs crystal (GGA-PBE).

Unit cell a=3.655 b=3.655 c=4.335 alpha=90.00 beta=90.00 gamma=120.00
Atoms (fractional coordinates):
As 0.000 0.000 0.103
Co 0.667 0.333 0.354
Si 0.333 0.667 0.543

## Properties
- Calculated volume: 16.7 A^3/atom
- Formation energy from raw total energies: 0.1742 eV per atom
- DOS at the Fermi energy: 1.6 states/eV/f.u.

=====

Entry from Alexandria via LeMat-Bulk: a relaxed CoSi2As crystal (GGA-PBE).

Unit cell a=9.041 b=9.041 c=9.041 alpha=18.00 beta=18.00 gamma=18.00
Atoms (fractional coordinates):
As 0.477 0.477 0.477
Co 0.743 0.743 0.743
Si 0.012 0.012 0.012
Si 0.268 0.268 0.268

## Properties
- Calculated volume: 15.4 A^3/atom
- Formation energy from raw total energies: 0.2117 eV per atom
- DOS at the Fermi energy: 3.8 states/eV/f.u.

=====

Entry from Alexandria via LeMat-Bulk: a relaxed Co3SiAs crystal (GGA-PBE).

Unit cell a=4.297 b=4.297 c=4.297 alpha=90.00 beta=90.00 gamma=90.00
Atoms (fractional coordinates):
As 0.000 0.000 0.000
Co 0.000 0.500 0.000
Co 0.000 0.000 0.500
Co 0.500 0.000 0.000
Si 0.500 0.500 0.500

## Properties
- Calculated volume: 15.9 A^3/atom
- Formation energy from raw total energies: 0.7924 eV per atom
- DOS at the Fermi energy: 6.5 states/eV/f.u.

=====

Entry from Alexandria via LeMat-Bulk: a relaxed CoSiAs crystal (GGA-PBE).

Unit cell a=3.063 b=3.063 c=5.213 alpha=90.00 beta=90.00 gamma=120.00
Atoms (fractional coordinates):
As 0.000 0.000 0.029
Co 0.667 0.333 0.342
Si 0.333 0.667 0.629

## Properties
- Calculated volume: 14.1 A^3/atom
- Formation energy from raw total energies: 0.0025 eV per atom
- DOS at the Fermi energy: 2.8 states/eV/f.u.

=====

Entry from Alexandria via LeMat-Bulk: a relaxed Co2SiAs crystal (GGA-PBE).

Unit cell a=4.935 b=4.935 c=4.935 alpha=143.91 beta=135.22 gamma=58.81
Atoms (fractional coordinates):
As 0.246 0.746 0.500
Co 0.011 0.011 0.000
Co 0.727 0.227 0.500
Si 0.516 0.516 0.000

## Properties
- Calculated volume: 12.4 A^3/atom
- Formation energy from raw total energies: -0.0375 eV per atom
- DOS at the Fermi energy: 2.0 states/eV/f.u.

=====

Entry from Alexandria via LeMat-Bulk: a relaxed CoSiAs crystal (GGA-PBE).

Unit cell a=5.844 b=6.047 c=6.032 alpha=126.25 beta=90.00 gamma=90.00
Atoms (fractional coordinates):
As 0.382 0.835 0.671
As 0.618 0.165 0.329
As 0.118 0.835 0.171
As 0.882 0.165 0.829
Si 0.351 0.344 0.154
Si 0.649 0.656 0.846
Si 0.851 0.656 0.346
Si 0.149 0.344 0.654
Co 0.003 0.749 0.752
Co 0.497 0.749 0.252
Co 0.997 0.251 0.248
Co 0.503 0.251 0.748

## Properties
- Calculated volume: 14.3 A^3/atom
- Formation energy from raw total energies: -0.2686 eV per atom
- DOS at the Fermi energy: 1.3 states/eV/f.u.

=====

Entry from Alexandria via LeMat-Bulk: a relaxed Co2SiAs crystal (GGA-PBE).

Unit cell a=3.963 b=3.963 c=4.799 alpha=78.59 beta=78.59 gamma=41.53
Atoms (fractional coordinates):
As 0.250 0.250 0.250
Co 0.007 0.007 0.990
Co 0.493 0.493 0.510
Si 0.750 0.750 0.750

## Properties
- Calculated volume: 12.2 A^3/atom
- Formation energy from raw total energies: -0.1198 eV per atom
- DOS at the Fermi energy: 4.2 states/eV/f.u.

=====

Entry from Alexandria via LeMat-Bulk: a relaxed Co2SiAs crystal (GGA-PBE).

Unit cell a=7.444 b=7.444 c=7.444 alpha=21.58 beta=21.58 gamma=21.58
Atoms (fractional coordinates):
As 0.750 0.750 0.750
Co 0.997 0.997 0.997
Co 0.503 0.503 0.503
Si 0.250 0.250 0.250

## Properties
- Calculated volume: 12.2 A^3/atom
- Formation energy from raw total energies: -0.1249 eV per atom
- DOS at the Fermi energy: 3.3 states/eV/f.u.

=====

Entry from Alexandria via LeMat-Bulk: a relaxed CoSi2As crystal (GGA-PBE).

Unit cell a=3.989 b=4.291 c=4.293 alpha=60.15 beta=90.00 gamma=90.00
Atoms (fractional coordinates):
As 0.000 0.607 0.607
Co 0.500 0.794 0.794
Si 0.000 0.944 0.944
Si 0.500 0.155 0.155

## Properties
- Calculated volume: 15.9 A^3/atom
- Formation energy from raw total energies: -0.0125 eV per atom
- DOS at the Fermi energy: 1.6 states/eV/f.u.

=====

Entry from Alexandria via LeMat-Bulk: a relaxed Co2SiAs crystal (GGA-PBE).

Unit cell a=4.364 b=4.364 c=4.040 alpha=77.49 beta=77.49 gamma=40.38
Atoms (fractional coordinates):
As 0.253 0.253 0.187
Co 0.986 0.986 0.065
Co 0.767 0.767 0.669
Si 0.494 0.494 0.579

## Properties
- Calculated volume: 12.1 A^3/atom
- Formation energy from raw total energies: -0.1937 eV per atom
- DOS at the Fermi energy: 2.9 states/eV/f.u.